(1)
Compound: PuSb2
Source: Alexandria
Functional: PBE
Structure: relaxed

Properties
SG   Fmmm, No. 69
Calculated total energy   -23.618 eV/cell
Raw formation energy   -0.35 eV/atom

```
PuSb2
1.0
0.0000 2.7898 5.0779
2.7862 0.0000 5.0779
2.7862 2.7898 0.0000
Pu Sb
1 2
Direct
0.0000 0.0000 0.0000
0.3340 0.3340 0.6660
0.6660 0.6660 0.3340
```


(2)
Compound: Ho2AlOs3
Source: Alexandria
Functional: PBE
Structure: relaxed

Properties
SG   R-3m, No. 166
Calculated total energy   -48.939 eV/cell
E_form   -0.3919 eV/atom

```
Ho2AlOs3
1.0
2.6956 1.5563 4.2993
-2.6956 1.5563 4.2993
0.0000 -3.1127 4.2993
Ho Al Os
2 1 3
Direct
0.1222 0.1222 0.1222
0.8778 0.8778 0.8778
0.5000 0.5000 0.5000
0.0000 0.5000 0.5000
0.5000 0.0000 0.5000
0.5000 0.5000 0.0000
```


(3)
Compound: PaBW
Source: Alexandria
Functional: PBE
Structure: relaxed

Properties
SG   R3m, No. 160
Calculated total energy   -26.664 eV/cell
E_form   0.8207 eV/atom

```
PaBW
1.0
1.5685 0.9056 6.3015
-1.5685 0.9056 6.3015
0.0000 -1.8111 6.3015
Pa B W
1 1 1
Direct
0.0000 0.0000 0.0000
0.8738 0.8738 0.8738
0.1481 0.1481 0.1481
```


(4)
Compound: LiMn2Cl
Source: Alexandria
Functional: PBE
Structure: relaxed

Properties
SG   Cm, No. 8
Calculated total energy   -22.424 eV/cell
Raw formation energy   -0.08 eV/atom

```
LiMn2Cl
1.0
2.6749 -1.5450 0.0000
2.6749 1.5450 0.0000
-1.7915 0.0000 8.1136
Li Mn Cl
1 2 1
Direct
0.0000 0.0000 0.0000
0.2316 0.2316 0.6898
0.4810 0.4810 0.4395
0.7321 0.7321 0.1960
```


(5)
Compound: LiBeNi2
Source: Alexandria
Functional: PBE
Structure: relaxed

Properties
SG   I-4m2, No. 119
Calculated total energy   -17.412 eV/cell
E_form   -0.0522 eV/atom

```
LiBeNi2
1.0
-1.6694 1.6694 3.6188
1.6694 -1.6694 3.6188
1.6694 1.6694 -3.6188
Li Be Ni
1 1 2
Direct
0.0000 0.0000 0.0000
0.7500 0.2500 0.5000
0.2500 0.7500 0.5000
0.5000 0.5000 0.0000
```


(6)
Compound: NpMnH8Pt2
Source: Alexandria
Functional: PBE
Structure: relaxed

Properties
SG   P-3m1, No. 164
Calculated total energy   -59.533 eV/cell

```
NpMnH8Pt2
1.0
5.1111 0.0000 0.0000
-2.5556 4.4264 0.0000
0.0000 0.0000 4.8736
Np Mn H Pt
1 1 8 2
Direct
0.0000 0.0000 0.0000
0.0000 0.0000 0.5000
0.1800 0.3601 0.3707
0.1800 0.8200 0.3707
0.3333 0.6667 0.7994
0.3601 0.1800 0.6293
0.6399 0.8200 0.3707
0.6667 0.3333 0.2006
0.8200 0.1800 0.6293
0.8200 0.6399 0.6293
0.3333 0.6667 0.1295
0.6667 0.3333 0.8705
```


(7)
Compound: Ac4PrTm
Source: Alexandria
Functional: PBE
Structure: relaxed

Properties
SG   Cmmm, No. 65
Calculated total energy   -25.421 eV/cell
E_form   0.0439 eV/atom

```
Ac4PrTm
1.0
2.7618 -8.1256 0.0000
2.7618 8.1256 0.0000
0.0000 0.0000 5.4769
Ac Pr Tm
4 1 1
Direct
0.1606 0.8394 0.0000
0.3385 0.6615 0.5000
0.6615 0.3385 0.5000
0.8394 0.1606 0.0000
0.5000 0.5000 0.0000
0.0000 0.0000 0.5000
```


(8)
Compound: KNaHfTe3
Source: Alexandria
Functional: PBE
Structure: relaxed

Properties
SG   C2/c, No. 15
Calculated total energy   -54.469 eV/cell
Raw formation energy   -0.91 eV/atom

```
KNaHfTe3
1.0
3.9386 -7.8732 0.0000
3.9386 7.8732 0.0000
-1.8124 0.0000 7.2980
K Na Hf Te
2 2 2 6
Direct
0.2418 0.7582 0.7500
0.7582 0.2418 0.2500
0.4182 0.5818 0.2500
0.5818 0.4182 0.7500
0.0528 0.9472 0.2500
0.9472 0.0528 0.7500
0.1907 0.2834 0.5068
0.2251 0.7749 0.2500
0.2834 0.1907 0.0068
0.7166 0.8093 0.9932
0.7749 0.2251 0.7500
0.8093 0.7166 0.4932
```


(9)
Compound: Ce5ZnIr2
Source: Alexandria
Functional: PBE
Structure: relaxed

Properties
SG   Cmcm, No. 63
Calculated total energy   -102.785 eV/cell
E_form   -0.3409 eV/atom

```
Ce5ZnIr2
1.0
2.7600 -6.1156 0.0000
2.7600 6.1156 0.0000
0.0000 0.0000 13.2349
Ce Zn Ir
10 2 4
Direct
0.0554 0.9446 0.6406
0.0554 0.9446 0.8594
0.2411 0.7589 0.2500
0.3547 0.6453 0.5532
0.3547 0.6453 0.9468
0.6453 0.3547 0.0532
0.6453 0.3547 0.4468
0.7589 0.2411 0.7500
0.9446 0.0554 0.1406
0.9446 0.0554 0.3594
0.4942 0.5058 0.2500
0.5058 0.4942 0.7500
0.1531 0.8469 0.0540
0.1531 0.8469 0.4460
0.8469 0.1531 0.5540
0.8469 0.1531 0.9460
```


(10)
Compound: VGaCoTc
Source: Alexandria
Functional: PBE
Structure: relaxed

Properties
SG   F-43m, No. 216
Calculated total energy   -30.773 eV/cell
E_form   -0.2889 eV/atom

```
VGaCoTc
1.0
0.0000 2.9620 2.9620
2.9620 0.0000 2.9620
2.9620 2.9620 0.0000
V Ga Co Tc
1 1 1 1
Direct
0.0000 0.0000 0.0000
0.5000 0.5000 0.5000
0.2500 0.2500 0.2500
0.7500 0.7500 0.7500
```


(11)
Compound: MnP3
Source: Alexandria
Functional: PBE
Structure: relaxed

Properties
SG   P4/mmm, No. 123
Calculated total energy   -24.677 eV/cell
E_form   0.1807 eV/atom

```
MnP3
1.0
2.8439 0.0000 0.0000
0.0000 2.8439 0.0000
0.0000 0.0000 6.1939
Mn P
1 3
Direct
0.0000 0.0000 0.0000
0.0000 0.0000 0.5000
0.5000 0.5000 0.2177
0.5000 0.5000 0.7823
```


(12)
Compound: HgAs2BrCl
Source: Alexandria
Functional: PBE
Structure: relaxed

Properties
SG   P4/mmm, No. 123
Calculated total energy   -9.303 eV/cell
Raw formation energy   0.76 eV/atom

```
HgAs2BrCl
1.0
5.3123 0.0000 0.0000
0.0000 5.3123 0.0000
0.0000 0.0000 5.4066
Hg As Br Cl
1 2 1 1
Direct
0.0000 0.0000 0.0000
0.0000 0.5000 0.0000
0.5000 0.0000 0.0000
0.0000 0.0000 0.5000
0.5000 0.5000 0.5000
```